# 1
Compound: Sc2BeCo
Source: Alexandria via LeMat-Bulk
Functional: GGA-PBEsol
Structure: optimized geometry Values from VASP.

Calculated values
The total energy comes out at -6.241 eV/atom. For the density of states at the Fermi level, the calculation gives 0.8433 states/eV/atom.

Structure (Quantum ESPRESSO input):
```
&SYSTEM
  ibrav = 0, nat = 4, ntyp = 3
/
ATOMIC_SPECIES
Sc 44.96 Sc.upf
Be 9.01 Be.upf
Co 58.93 Co.upf
CELL_PARAMETERS angstrom
-3.499 2.283 1.009
-1.431 0.061 4.052
0.373 3.575 2.357
ATOMIC_POSITIONS crystal
Sc 0.000 0.000 0.000
Sc 0.750 0.750 0.750
Be 0.500 0.500 0.500
Co 0.250 0.250 0.250
```



# 2
Compound: Sc2Be2Co
Source: Alexandria via LeMat-Bulk
Functional: GGA-PBEsol
Structure: optimized geometry Values from VASP.

Calculated values
The total energy comes out at -5.097 eV/atom. For the density of states at the Fermi level, the calculation gives 0.6571 states/eV/atom.

Structure (Quantum ESPRESSO input):
```
&SYSTEM
  ibrav = 0, nat = 5, ntyp = 3
/
ATOMIC_SPECIES
Sc 44.96 Sc.upf
Be 9.01 Be.upf
Co 58.93 Co.upf
CELL_PARAMETERS angstrom
-1.037 3.463 0.492
-2.710 -1.120 2.171
5.224 -0.790 3.048
ATOMIC_POSITIONS crystal
Sc 0.250 0.750 0.500
Sc 0.750 0.250 0.500
Be 0.413 0.413 0.826
Be 0.587 0.587 0.174
Co 0.000 0.000 0.000
```



# 3
Compound: ScBe4Co
Source: Alexandria via LeMat-Bulk
Functional: GGA-PBEsol
Structure: optimized geometry Values from VASP.

Calculated values
The total energy comes out at -5.365 eV/atom.

Structure (Quantum ESPRESSO input):
```
&SYSTEM
  ibrav = 0, nat = 6, ntyp = 3
/
ATOMIC_SPECIES
Sc 44.96 Sc.upf
Be 9.01 Be.upf
Co 58.93 Co.upf
CELL_PARAMETERS angstrom
-0.538 2.657 3.441
2.448 -0.545 3.592
3.094 2.933 1.008
ATOMIC_POSITIONS crystal
Sc 0.000 0.000 0.000
Be 0.377 0.377 0.377
Be 0.377 0.377 0.869
Be 0.869 0.377 0.377
Be 0.377 0.869 0.377
Co 0.750 0.750 0.750
```



# 4
Compound: BeCo4Se
Source: Alexandria via LeMat-Bulk
Functional: GGA-PBEsol
Structure: optimized geometry Values from VASP.

Calculated values
The total energy comes out at -6.052 eV/atom. For the density of states at the Fermi level, the calculation gives 1.1517 states/eV/atom.

Structure (Quantum ESPRESSO input):
```
&SYSTEM
  ibrav = 0, nat = 6, ntyp = 3
/
ATOMIC_SPECIES
Be 9.01 Be.upf
Co 58.93 Co.upf
Se 78.96 Se.upf
CELL_PARAMETERS angstrom
-3.252 -2.691 -1.968
0.852 -2.076 -4.081
0.596 -4.615 -0.185
ATOMIC_POSITIONS crystal
Be 0.000 0.000 0.000
Co 0.375 0.375 0.375
Co 0.375 0.375 0.876
Co 0.876 0.375 0.375
Co 0.375 0.876 0.375
Se 0.750 0.750 0.750
```